Entry 1:
Computed, not measured: LiVS2O8 after structural relaxation at the GGA+U level of DFT.

Lattice parameters (Å, degrees): 8.426 8.429 9.002 90.55 117.21 119.86
Fractional positions:
Li 0.000 0.000 0.000
Li 0.152 0.760 0.107
Li 0.381 0.375 0.109
V 0.053 0.514 0.538
V 0.634 0.815 0.415
V 0.637 0.309 0.914
S 0.127 0.417 0.215
S 0.139 0.208 0.724
S 0.542 0.907 0.714
S 0.562 0.126 0.220
S 0.830 0.689 0.222
S 0.841 0.621 0.724
O 0.017 0.797 0.874
O 0.055 0.220 0.157
O 0.118 0.203 0.878
O 0.153 0.468 0.386
O 0.197 0.399 0.697
O 0.312 0.181 0.753
O 0.325 0.782 0.690
O 0.345 0.550 0.235
O 0.394 0.158 0.183
O 0.481 0.923 0.227
O 0.513 0.871 0.534
O 0.612 0.146 0.079
O 0.620 0.113 0.767
O 0.646 0.497 0.079
O 0.681 0.485 0.767
O 0.692 0.868 0.838
O 0.718 0.658 0.564
O 0.721 0.773 0.247
O 0.762 0.257 0.392
O 0.930 0.525 0.683
O 0.936 0.054 0.563
O 0.943 0.654 0.387
O 0.979 0.813 0.170
O 0.980 0.466 0.082

Calculated values
Relative energy among the computed polymorphs (meV per atom): 0
Electronic total energy (eV per atom): -6.44
Mass density (g cm⁻³): 2.655



Entry 2:
Computed, not measured: Li3VS3O12 after structural relaxation at the GGA+U level of DFT.

Lattice parameters (Å, degrees): 8.570 8.570 8.570 107.75 107.75 107.75
Fractional positions:
Li 0.070 0.755 0.470
Li 0.245 0.530 0.930
Li 0.470 0.070 0.755
Li 0.530 0.930 0.245
Li 0.755 0.470 0.070
Li 0.930 0.245 0.530
V 0.000 0.000 0.000
V 0.500 0.500 0.500
S 0.114 0.453 0.222
S 0.222 0.114 0.453
S 0.453 0.222 0.114
S 0.547 0.778 0.886
S 0.778 0.886 0.547
S 0.886 0.547 0.778
O 0.007 0.254 0.096
O 0.016 0.477 0.738
O 0.096 0.007 0.254
O 0.141 0.210 0.552
O 0.210 0.552 0.141
O 0.243 0.479 0.401
O 0.254 0.096 0.007
O 0.262 0.984 0.523
O 0.401 0.243 0.479
O 0.448 0.859 0.790
O 0.477 0.738 0.016
O 0.479 0.401 0.243
O 0.521 0.599 0.757
O 0.523 0.262 0.984
O 0.552 0.141 0.210
O 0.599 0.757 0.521
O 0.738 0.016 0.477
O 0.746 0.904 0.993
O 0.757 0.521 0.599
O 0.790 0.448 0.859
O 0.859 0.790 0.448
O 0.904 0.993 0.746
O 0.984 0.523 0.262
O 0.993 0.746 0.904

Calculated values
Electronic total energy (eV per atom): -6.19
Mass density (g cm⁻³): 2.329